DFT (PBE+U) results for a relaxed structure of Ba2NiF8.

Cell: 4.698 5.004 7.913 Å, 105.58 105.33 94.04°
Space group P-1 (No. 2)
Symmetry-distinct sites (fractional):
Ba (0.177, 0.155, 0.320) (multiplicity 2)
Ni (0.500, 0.500, 0.000) (multiplicity 1)
F (0.113, 0.303, 0.990) (multiplicity 2)
F (0.225, 0.723, 0.475) (multiplicity 2)
F (0.349, 0.734, 0.859) (multiplicity 2)
F (0.461, 0.228, 0.773) (multiplicity 2)

**Energy**: -4.655 eV/atom
**Fermi-level density of states**: 10.59 states/eV per cell
**Total moment**: 4.033 μB per cell